(1)
Computed, not measured: a geometry-optimized BaSr2Mg structure at the GGA-PBEsol level of DFT.

a = 4.9276 Å, b = 6.0032 Å, c = 6.0423 Å
α = 90.00°, β = 90.00°, γ = 90.00°
Positions (direct):
Sr 0.0000 0.0000 0.0000
Sr 0.5000 0.5000 0.0000
Ba 0.5000 0.0000 0.5000
Mg 0.0000 0.5000 0.5000

Summary:
formation energy from the elements = 41 meV per atom
space-group type = Pmmm (47)

(2)
Computed, not measured: a geometry-optimized TiBiB2 structure at the GGA-PBEsol level of DFT.

a = 6.1001 Å, b = 5.4491 Å, c = 6.1001 Å
α = 124.04°, β = 90.00°, γ = 124.04°
Positions (direct):
Ti 0.7500 0.5000 0.2500
Ti 0.5000 0.0000 0.5000
B 0.1250 0.7500 0.6086
B 0.6250 0.7500 0.1414
B 0.8586 0.2500 0.8750
B 0.3914 0.2500 0.3750
Bi 0.0000 0.0000 0.0000
Bi 0.2500 0.5000 0.7500

Summary:
formation energy from the elements = 933 meV per atom
space-group type = I-42d (122)